## 1
Computed, not measured: a relaxed structure of GeI2N2 at the PBE level of DFT.

Cell: 4.0903 4.0903 7.2083 Å, 90.00 90.00 90.00°
Last column: nearest neighbours and their distance in Å.
Atoms (fractional coordinates):
I: 0.5000 0.5000 0.5000  4 I 2.89
I: 0.0000 0.0000 0.5000  4 I 2.89
Ge: 0.0000 0.0000 0.0000  4 N 2.05
N: 0.5000 0.0000 0.0000  2 Ge 2.05
N: 0.0000 0.5000 0.0000  2 Ge 2.05

Output
Its density of states at the Fermi level is 0.825 states/eV per atom. The space group is No. 123.

---

## 2
Computed, not measured: a relaxed structure of GeI2N2 at the PBE level of DFT.

Cell: 4.1849 4.1849 7.8642 Å, 90.00 90.00 90.00°
Last column: nearest neighbours and their distance in Å.
Atoms (fractional coordinates):
N: 0.5000 0.0000 0.0000  2 I 2.09
N: 0.0000 0.5000 0.0000  2 I 2.09
Ge: 0.5000 0.5000 0.5000  4 I 2.96
I: 0.0000 0.0000 0.5000  4 Ge 2.96
I: 0.0000 0.0000 0.0000  4 N 2.09

Output
Its density of states at the Fermi level is 1.028 states/eV per atom. The space group is No. 123.

---

Most stable of them? 1.

---

## 1
Computed, not measured: a relaxed structure of GeI2N2 at the PBE level of DFT.

Cell: 4.7616 4.7616 4.2036 Å, 90.00 90.00 90.00°
Last column: nearest neighbours and their distance in Å.
Atoms (fractional coordinates):
I: 0.5000 0.0000 0.0000  2 N 2.38
I: 0.0000 0.5000 0.0000  2 N 2.38
Ge: 0.5000 0.5000 0.5000  8 I 3.18, 4 N 3.37
N: 0.0000 0.0000 0.0000  2 N 2.10
N: 0.0000 0.0000 0.5000  2 N 2.10

Output
Its density of states at the Fermi level is 0.493 states/eV per atom. The space group is No. 123.

---

## 2
Computed, not measured: a relaxed structure of GeI2N2 at the PBE level of DFT.

Cell: 6.4295 6.4295 3.3685 Å, 90.00 90.00 90.00°
Last column: nearest neighbours and their distance in Å.
Atoms (fractional coordinates):
N: 0.5000 0.5000 0.5000  2 N 3.37, 8 I 3.63
N: 0.0000 0.0000 0.5000  2 Ge 1.68
I: 0.0000 0.5000 0.0000  2 Ge 3.21, 2 I 3.37
I: 0.5000 0.0000 0.0000  2 Ge 3.21, 2 I 3.37
Ge: 0.0000 0.0000 0.0000  2 N 1.68

Output
Its density of states at the Fermi level is 0.393 states/eV per atom. The space group is No. 123.

---

## 3
Computed, not measured: a relaxed structure of GeI2N2 at the PBE level of DFT.

Cell: 4.2852 4.2871 11.5465 Å, 87.80 90.00 119.99°
Last column: nearest neighbours and their distance in Å.
Atoms (fractional coordinates):
I: 0.6564 0.3128 0.1518  3 Ge 3.03
I: 0.3436 0.6872 0.8482  3 Ge 3.03
N: 0.9426 0.8851 0.4706  1 N 1.11
N: 0.0574 0.1149 0.5294  1 N 1.11
Ge: 0.0000 0.0000 0.0000  6 I 3.03

Output
Its density of states at the Fermi level is 0.000 states/eV per atom. The space group is No. 12.

---

Most stable of them? 3.

---

## 1
Computed, not measured: a relaxed structure of GeIN at the PBE level of DFT.

Cell: 7.1346 8.6910 7.6275 Å, 90.00 126.59 90.00°
Last column: nearest neighbours and their distance in Å.
Atoms (fractional coordinates):
Ge: 0.2232 0.6406 0.4614  1 N 2.08
Ge: 0.2768 0.1406 0.5386  1 N 2.08
Ge: 0.7768 0.3594 0.5386  1 N 2.08
Ge: 0.7232 0.8594 0.4614  1 N 2.08
I: 0.8848 0.3717 0.2241  3 Ge 2.93-3.10
I: 0.3848 0.1283 0.2241  3 Ge 2.93-3.10
I: 0.1152 0.6283 0.7759  3 Ge 2.93-3.10
I: 0.6152 0.8717 0.7759  3 Ge 2.93-3.10
N: 0.4894 0.4807 0.5716  1 N 1.23
N: 0.5106 0.5193 0.4284  1 N 1.23
N: 0.9894 0.0193 0.5716  1 N 1.23
N: 0.0106 0.9807 0.4284  1 N 1.23

Output
The space group is No. 14.

---

## 2
Computed, not measured: a relaxed structure of GeIN at the PBE level of DFT.

Cell: 4.0986 4.3826 20.6302 Å, 119.09 26.68 120.61°
Last column: nearest neighbours and their distance in Å.
Atoms (fractional coordinates):
I: 0.2132 0.2726 0.1514  1 N 1.96
I: 0.7868 0.7274 0.8486  1 N 1.96
N: 0.5393 0.7861 0.1328  1 I 1.96
N: 0.4607 0.2139 0.8672  1 I 1.96
Ge: 0.1738 0.6807 0.5382  3 Ge 2.51-2.57
Ge: 0.8262 0.3193 0.4618  3 Ge 2.51-2.57

Output
Its density of states at the Fermi level is 0.415 states/eV per atom. The space group is No. 2.

---

Most stable of them? 1.

---

## 1
Computed, not measured: a relaxed structure of NbGeIN2 at the PBE level of DFT.

Cell: 4.1273 4.1273 5.7356 Å, 90.00 90.00 90.00°
Last column: nearest neighbours and their distance in Å.
Atoms (fractional coordinates):
I: 0.0000 0.0000 0.5000  2 Nb 2.87, 4 Ge 2.92
N: 0.5000 0.0000 0.0000  2 Nb 2.06
N: 0.0000 0.5000 0.0000  2 Nb 2.06
Ge: 0.5000 0.5000 0.5000  4 I 2.92
Nb: 0.0000 0.0000 0.0000  4 N 2.06

Output
Its density of states at the Fermi level is 0.545 states/eV per atom. The space group is No. 123.

---

## 2
Computed, not measured: a relaxed structure of NbGeIN2 at the PBE level of DFT.

Cell: 3.9719 3.9719 5.5824 Å, 90.00 90.00 90.00°
Last column: nearest neighbours and their distance in Å.
Atoms (fractional coordinates):
I: 0.0000 0.0000 0.5000  2 Ge 2.79, 4 Nb 2.81
Ge: 0.0000 0.0000 0.0000  4 N 1.99
N: 0.5000 0.0000 0.0000  2 Ge 1.99
N: 0.0000 0.5000 0.0000  2 Ge 1.99
Nb: 0.5000 0.5000 0.5000  4 I 2.81

Output
Its density of states at the Fermi level is 0.711 states/eV per atom. The space group is No. 123.

---

Most stable of them? 1.